#one
TbGd2Tc | GGA-PBE | relaxed

Cell: 3.4445 3.4445 32.5031 Å, 90.00 90.00 120.00°
Space group R-3m (No. 166, hexagonal axes)
Asymmetric unit:
Tb  0.0000  0.0000  0.0000 [3 per cell]
Gd  0.0000  0.0000  0.1039 [6 per cell]
Tc  0.0000  0.0000  0.5000 [3 per cell]

Summary:
V in Å³/cell: 334.0

#two
TbGd2Tc | GGA-PBE | relaxed

Cell: 3.4626 3.4626 8.9555 Å, 90.00 90.00 90.00°
Space group P4/mmm (No. 123)
Asymmetric unit:
Tb  0.0000  0.0000  0.0000 [1 per cell]
Gd  0.5000  0.5000  0.3125 [2 per cell]
Tc  0.0000  0.0000  0.5000 [1 per cell]

Summary:
V in Å³/cell: 107.4

Most favorable structure: #two. The second most favorable one is 0.224 eV/atom above it.

#one
TbGdTe2 | GGA-PBE | relaxed

Cell: 4.2977 4.2977 29.1993 Å, 90.00 90.00 120.00°
Space group R-3m (No. 166, hexagonal axes)
Asymmetric unit:
Tb  0.0000  0.0000  0.0000 [3 per cell]
Gd  0.0000  0.0000  0.5000 [3 per cell]
Te  0.0000  0.0000  0.3953 [6 per cell]

Summary:
V in Å³/cell: 467.1

#two
TbGdTe2 | GGA-PBE | relaxed

Cell: 7.6101 7.6101 7.6101 Å, 90.00 90.00 90.00°
Space group Fm-3m (No. 225)
Asymmetric unit:
Tb  0.0000  0.0000  0.0000 [4 per cell]
Gd  0.0000  0.0000  0.5000 [4 per cell]
Te  0.2500  0.2500  0.2500 [8 per cell]

Summary:
V in Å³/cell: 440.7

Most favorable structure: #two. The second most favorable one is 0.313 eV/atom above it.

#one
TbGdTe | GGA-PBE | relaxed

Cell: 3.8933 3.8933 11.6559 Å, 90.00 90.00 90.00°
Space group I4mm (No. 107)
Asymmetric unit:
Tb  0.0000  0.0000  0.0000 [2 per cell]
Gd  0.0000  0.0000  0.3078 [2 per cell]
Te  0.0000  0.0000  0.6499 [2 per cell]

Summary:
V in Å³/cell: 176.7

#two
TbGdTe | GGA-PBE | relaxed

Cell: 5.1701 5.1701 4.0381 Å, 90.00 90.00 120.00°
Space group P3m1 (No. 156)
Asymmetric unit:
Tb  0.0000  0.0000  0.0000 [1 per cell]
Gd  0.3333  0.6667  0.4910 [1 per cell]
Te  0.6667  0.3333  0.2159 [1 per cell]

Summary:
V in Å³/cell: 93.5

Most favorable structure: #one. The second most favorable one is 0.281 eV/atom above it.